# 1
Material: NaBTe2O6
Method: DFT, PBE
State: optimized geometry

Calculated values
As for the space group: C2/c. For the uncorrected formation energy, the calculation gives -1.4845 eV per atom.

Geometry as POSCAR:
```
NaBTe2O6
1.0
5.605 -0.214 -0.222
1.639 7.764 -2.208
1.639 -2.494 7.677
Na B Te O
2 2 4 12
direct
0.250 0.864 0.136
0.750 0.136 0.864
0.250 0.204 0.796
0.750 0.796 0.204
0.442 0.752 0.527
0.058 0.473 0.248
0.558 0.248 0.473
0.942 0.527 0.752
0.208 0.008 0.727
0.292 0.273 0.992
0.792 0.992 0.273
0.708 0.727 0.008
0.512 0.811 0.326
0.988 0.674 0.189
0.488 0.189 0.674
0.012 0.326 0.811
0.235 0.606 0.769
0.265 0.231 0.394
0.765 0.394 0.231
0.735 0.769 0.606
```

=====

# 2
Material: NaB2TeO6
Method: DFT, PBE
State: optimized geometry

Calculated values
As for the space group: C2/c. For the uncorrected formation energy, the calculation gives -1.6553 eV per atom.

Geometry as POSCAR:
```
NaB2TeO6
1.0
-0.884 4.584 -2.056
-4.762 2.439 3.833
4.213 3.896 3.224
Na B Te O
2 4 2 12
direct
0.250 0.911 0.089
0.750 0.089 0.911
0.312 0.804 0.635
0.188 0.365 0.196
0.688 0.196 0.365
0.812 0.635 0.804
0.250 0.292 0.708
0.750 0.708 0.292
0.188 0.000 0.750
0.312 0.250 0.000
0.812 0.000 0.250
0.688 0.750 0.000
0.349 0.825 0.411
0.151 0.589 0.175
0.651 0.175 0.589
0.849 0.411 0.825
0.133 0.654 0.719
0.367 0.281 0.346
0.867 0.346 0.281
0.633 0.719 0.654
```

=====

# 3
Material: Na2B2TeO6
Method: DFT, PBE
State: optimized geometry

Calculated values
As for the space group: C2/m. For the uncorrected formation energy, the calculation gives -1.8190 eV per atom.

Geometry as POSCAR:
```
Na2B2TeO6
1.0
5.302 0.000 0.000
-2.651 4.390 -0.163
0.000 -2.697 5.819
Na B Te O
2 2 1 6
direct
0.694 0.389 0.134
0.306 0.611 0.866
0.943 0.886 0.728
0.057 0.114 0.272
0.500 0.000 0.500
0.769 0.538 0.632
0.189 0.927 0.222
0.261 0.073 0.778
0.811 0.073 0.778
0.739 0.927 0.222
0.231 0.462 0.368
```

=====

# 4
Material: Na2Y2B2TeO10
Method: DFT, PBE
State: optimized geometry

Calculated values
As for the space group: P2_1/c. For the uncorrected formation energy, the calculation gives -2.4305 eV per atom.

Geometry as POSCAR:
```
Na2Y2B2TeO10
1.0
-1.622 -5.462 8.307
5.874 1.365 2.044
-0.822 5.725 3.604
Na Y B Te O
4 4 4 2 20
direct
0.611 0.412 0.168
0.111 0.588 0.332
0.389 0.588 0.832
0.889 0.412 0.668
0.834 0.874 0.023
0.334 0.126 0.477
0.166 0.126 0.977
0.666 0.874 0.523
0.401 0.663 0.369
0.901 0.337 0.131
0.599 0.337 0.631
0.099 0.663 0.869
0.500 0.000 0.000
0.000 0.000 0.500
0.827 0.518 0.061
0.327 0.482 0.439
0.173 0.482 0.939
0.673 0.518 0.561
0.650 0.008 0.177
0.150 0.992 0.323
0.350 0.992 0.823
0.850 0.008 0.677
0.440 0.708 0.162
0.940 0.292 0.338
0.560 0.292 0.838
0.060 0.708 0.662
0.938 0.201 0.011
0.438 0.799 0.489
0.062 0.799 0.989
0.562 0.201 0.511
0.383 0.160 0.136
0.883 0.840 0.364
0.617 0.840 0.864
0.117 0.160 0.636
```

=====

# 5
Material: NaTi3B4O12
Method: DFT, PBE
State: optimized geometry

Calculated values
As for the space group: R32. For the uncorrected formation energy, the calculation gives -2.6213 eV per atom.

Geometry as POSCAR:
```
NaTi3B4O12
1.0
-4.732 3.886 -0.442
0.101 -1.527 5.946
4.928 3.598 -0.679
Na Ti B O
1 3 4 12
direct
0.000 0.000 0.000
0.548 0.452 0.000
0.452 0.000 0.548
0.000 0.548 0.452
0.947 0.053 0.500
0.053 0.500 0.947
0.500 0.947 0.053
0.500 0.500 0.500
0.500 0.356 0.644
0.910 0.500 0.090
0.090 0.910 0.500
0.500 0.090 0.910
0.392 0.979 0.226
0.226 0.392 0.979
0.979 0.226 0.392
0.608 0.774 0.021
0.021 0.608 0.774
0.774 0.021 0.608
0.644 0.500 0.356
0.356 0.644 0.500
```

=====

# 6
Material: NaTi2BO6
Method: DFT, PBE
State: optimized geometry

Calculated values
As for the space group: C2/c. For the uncorrected formation energy, the calculation gives -2.6951 eV per atom.

Geometry as POSCAR:
```
NaTi2BO6
1.0
5.714 -0.030 -0.032
1.839 6.686 -0.728
1.839 -0.975 6.655
Na Ti B O
2 4 2 12
direct
0.250 0.900 0.100
0.750 0.100 0.900
0.345 0.747 0.565
0.155 0.435 0.253
0.655 0.253 0.435
0.845 0.565 0.747
0.250 0.190 0.810
0.750 0.810 0.190
0.215 0.984 0.770
0.285 0.230 0.016
0.785 0.016 0.230
0.715 0.770 0.984
0.514 0.812 0.342
0.986 0.658 0.188
0.486 0.188 0.658
0.014 0.342 0.812
0.039 0.683 0.578
0.461 0.422 0.317
0.961 0.317 0.422
0.539 0.578 0.683
```

=====

# 7
Material: Na3TiB2O6
Method: DFT, PBE
State: optimized geometry

Calculated values
As for the space group: P-3m1. For the uncorrected formation energy, the calculation gives -2.2671 eV per atom.

Geometry as POSCAR:
```
Na3TiB2O6
1.0
-2.459 2.904 -3.552
-2.559 -1.684 4.209
1.602 4.992 2.972
Na Ti B O
3 1 2 6
direct
0.333 0.667 0.741
0.667 0.333 0.259
0.000 0.000 0.000
0.000 0.000 0.500
0.667 0.333 0.711
0.333 0.667 0.289
0.640 0.820 0.289
0.180 0.360 0.289
0.180 0.820 0.289
0.820 0.640 0.711
0.360 0.180 0.711
0.820 0.180 0.711
```

=====

# 8
Material: Na2TiBO4
Method: DFT, PBE
State: optimized geometry

Calculated values
As for the space group: I-42m. For the uncorrected formation energy, the calculation gives -2.0304 eV per atom.

Geometry as POSCAR:
```
Na2TiBO4
1.0
5.026 0.000 0.000
2.513 4.102 0.000
2.513 0.000 4.102
Na Ti B O
2 1 1 4
direct
0.000 0.500 0.500
0.500 0.500 0.500
0.000 0.000 0.000
0.500 0.000 0.000
0.168 0.291 0.000
0.832 0.000 0.709
0.541 0.000 0.291
0.459 0.709 0.000
```

=====

# 9
Material: Na2TmBO4
Method: DFT, PBE
State: optimized geometry

Calculated values
As for the space group: I-42m. For the uncorrected formation energy, the calculation gives -2.2551 eV per atom.

Geometry as POSCAR:
```
Na2TmBO4
1.0
-1.055 -2.676 -4.507
3.172 -2.972 -2.150
-1.957 -4.436 -0.080
Na Tm B O
2 1 1 4
direct
0.000 0.500 0.500
0.500 0.500 0.500
0.000 0.000 0.000
0.500 0.000 0.000
0.179 0.306 0.000
0.821 0.000 0.694
0.514 0.000 0.306
0.486 0.694 0.000
```

=====

# 10
Material: NaUBO5
Method: DFT, PBE
State: optimized geometry

Calculated values
For the energy above the most stable polymorph in this dataset, the calculation gives 0.000 eV per atom. As for the space group: Pbcm. For the uncorrected formation energy, the calculation gives -2.7167 eV per atom.

Geometry as POSCAR:
```
NaUBO5
1.0
-3.944 3.471 2.785
0.745 -3.757 5.737
7.999 6.505 3.221
Na U B O
4 4 4 20
direct
0.602 0.000 0.250
0.398 0.500 0.750
0.602 0.500 0.250
0.398 0.000 0.750
0.903 0.750 0.567
0.097 0.250 0.433
0.903 0.250 0.933
0.097 0.750 0.067
0.197 0.750 0.351
0.803 0.250 0.649
0.803 0.750 0.851
0.197 0.250 0.149
0.871 0.082 0.589
0.871 0.582 0.911
0.152 0.750 0.672
0.663 0.250 0.040
0.129 0.082 0.089
0.687 0.750 0.741
0.129 0.918 0.411
0.313 0.250 0.259
0.663 0.750 0.460
0.848 0.750 0.172
0.337 0.250 0.540
0.129 0.582 0.411
0.313 0.750 0.241
0.871 0.418 0.589
0.152 0.250 0.828
0.687 0.250 0.759
0.129 0.418 0.089
0.337 0.750 0.960
0.871 0.918 0.911
0.848 0.250 0.328
```

=====

# 11
Material: NaUBO5
Method: DFT, PBE
State: optimized geometry

Calculated values
For the energy above the most stable polymorph in this dataset, the calculation gives 0.107 eV per atom. As for the space group: C2/c. For the uncorrected formation energy, the calculation gives -2.6095 eV per atom.

Geometry as POSCAR:
```
NaUBO5
1.0
5.475 0.192 -0.142
-1.414 5.293 -0.142
-1.866 -2.520 7.148
Na U B O
2 2 2 10
direct
0.347 0.653 0.250
0.653 0.347 0.750
0.000 0.000 0.500
0.000 0.000 0.000
0.683 0.317 0.250
0.317 0.683 0.750
0.089 0.911 0.250
0.911 0.089 0.750
0.868 0.299 0.139
0.132 0.701 0.861
0.701 0.132 0.361
0.299 0.868 0.639
0.756 0.599 0.382
0.244 0.401 0.618
0.401 0.244 0.118
0.599 0.756 0.882
```

=====

For reference, magnetization by record: 0.000 0.001 0.000 0.000 1.056 0.000 0.991 1.000 0.000 0.000 0.000 μB/cell.